The following is a PBE-GGA calculation of crystalline Sr6Ag2S at its relaxed geometry, from Alexandria via LeMat-Bulk.

a = 7.4716 Å, b = 8.4522 Å, c = 13.2641 Å
α = 90.00°, β = 123.26°, γ = 90.00°
Fractional positions:
Sr: 0.1061 0.0396 0.2490
Sr: 0.1061 0.4604 0.7490
Sr: 0.2263 0.6841 0.0656
Sr: 0.2263 0.8159 0.5656
Sr: 0.3921 0.1806 0.0637
Sr: 0.3921 0.3194 0.5637
Sr: 0.6079 0.6806 0.4363
Sr: 0.6079 0.8194 0.9363
Sr: 0.7737 0.1841 0.4344
Sr: 0.7737 0.3159 0.9344
Sr: 0.8939 0.5396 0.2510
Sr: 0.8939 0.9604 0.7510
Ag: 0.3057 0.1112 0.7569
Ag: 0.3057 0.3888 0.2569
Ag: 0.6943 0.6112 0.7431
Ag: 0.6943 0.8888 0.2431
S: 0.0000 0.0000 0.0000
S: 0.0000 0.5000 0.5000

Computed properties:
Final energy in eV per atom: -2.79
Crystal system: monoclinic
Symmetry: P2_1/c
Energy relative to the elements, uncorrected in eV per formula unit: -5.16
M_tot in μB/f.u.: 0.000